(1)
Here is a relaxed structure of Cs2NaHBr from Alexandria. Energies are from PBE-GGA.

Output
- Space group: P4/mmm

Cell lengths 6.2888, 6.2888, 4.7929 Å; angles 90.00, 90.00, 90.00 degrees
With the nearest neighbours (Å) after each atom.
Sites, in units of the cell vectors:
Cs 0.0000 0.5000 0.0000  2 H 3.14
Cs 0.5000 0.0000 0.0000  2 H 3.14
Na 0.0000 0.0000 0.5000  2 H 2.40
H 0.0000 0.0000 0.0000  2 Na 2.40
Br 0.5000 0.5000 0.5000  8 Cs 3.95

***

(2)
Here is a relaxed structure of CsNaH2Br from Alexandria. Energies are from PBE-GGA.

Output
- Space group: P4/mmm

Cell lengths 4.8017, 4.8017, 9.8057 Å; angles 90.00, 90.00, 90.00 degrees
With the nearest neighbours (Å) after each atom.
Sites, in units of the cell vectors:
Cs 0.0000 0.0000 0.0000  4 Br 3.40
Na 0.0000 0.0000 0.5000  4 H 2.40
H 0.0000 0.5000 0.5000  2 Na 2.40
H 0.5000 0.0000 0.5000  2 Na 2.40
Br 0.5000 0.5000 0.0000  4 Cs 3.40

***

(3)
Here is a relaxed structure of Cs2NdHBr6 from Alexandria. Energies are from PBE-GGA.

Output
- Space group: C2/m

Cell lengths 7.8782, 7.8782, 8.9788 Å; angles 124.71, 124.71, 69.27 degrees
With the nearest neighbours (Å) after each atom.
Sites, in units of the cell vectors:
Cs 0.2498 0.2498 0.2496  8 Br 3.95-3.96
Cs 0.7502 0.7502 0.7504  8 Br 3.95-3.96
Nd 0.0000 0.0000 0.5000  6 Br 2.86-2.97
H 0.5000 0.5000 0.0000  2 Br 1.70
Br 0.2258 0.7743 0.2750  1 Nd 2.86
Br 0.2257 0.7742 0.7250  1 Nd 2.86
Br 0.3179 0.3179 0.8184  1 H 1.70
Br 0.6821 0.6821 0.1816  1 H 1.70
Br 0.7743 0.2258 0.2750  1 Nd 2.86
Br 0.7742 0.2257 0.7250  1 Nd 2.86

***

(4)
Here is a relaxed structure of Cs2NiHBr6 from Alexandria. Energies are from PBE-GGA.

Output
- Space group: I4/mmm

Cell lengths 7.7905, 7.7905, 7.7905 Å; angles 126.12, 126.12, 79.68 degrees
With the nearest neighbours (Å) after each atom.
Sites, in units of the cell vectors:
Cs 0.2500 0.7500 0.5000  12 Br 3.58-3.90
Cs 0.7500 0.2500 0.5000  12 Br 3.58-3.90
Ni 0.0000 0.0000 0.0000  6 Br 2.37-2.56
H 0.5000 0.5000 0.0000  4 Br 2.43
Br 0.1980 0.1980 0.0000  1 Ni 2.37
Br 0.2562 0.2562 0.5125  1 H 2.43, 1 Ni 2.56
Br 0.2562 0.7438 0.0000  1 H 2.43, 1 Ni 2.56
Br 0.7438 0.2562 0.0000  1 H 2.43, 1 Ni 2.56
Br 0.7438 0.7438 0.4875  1 H 2.43, 1 Ni 2.56
Br 0.8020 0.8020 0.0000  1 Ni 2.37

***

no.,D(E_F) (states/eV/cell),VASP energy (eV/cell)
1,2.0,-11.052
2,1.4,-11.204
3,0.0,-34.737
4,4.9,-27.490